DFT (PBE-GGA) results for a relaxed Y2U2Tc3 crystal.

abc: 6.0023 7.2083 7.2121
angles: 90.00 94.83 90.00
Last column: nearest neighbours and their distance in Å.
Fractional coordinates of all 14 atoms:
Y  0.1470  0.3450  0.1737  4 Tc 2.81-3.13
Y  0.8530  0.8450  0.3263  4 Tc 2.81-3.13
Y  0.1470  0.1550  0.6737  4 Tc 2.81-3.13
Y  0.8530  0.6550  0.8263  4 Tc 2.81-3.13
U  0.3660  0.6969  0.5146  3 Tc 2.41-2.61
U  0.6340  0.3031  0.4854  3 Tc 2.41-2.61
U  0.3660  0.8031  0.0146  3 Tc 2.41-2.61
U  0.6340  0.1969  0.9854  3 Tc 2.41-2.61
Tc  0.0000  0.5000  0.5000  2 U 2.61, 4 Y 2.81-2.89
Tc  0.3561  0.9745  0.3291  2 U 2.41-2.59
Tc  0.0000  0.0000  0.0000  2 U 2.61, 4 Y 2.81-2.89
Tc  0.6439  0.4745  0.1709  2 U 2.41-2.59
Tc  0.6439  0.0255  0.6709  2 U 2.41-2.59
Tc  0.3561  0.5255  0.8291  2 U 2.41-2.59

Computed properties:
- Energy: -9.590 eV/atom
- Calculated volume: 310.9 Å³/cell

=====

DFT (PBE-GGA) results for a relaxed ThZrMo4 crystal.

abc: 5.5134 5.5134 5.5134
angles: 60.00 60.00 60.00
Last column: nearest neighbours and their distance in Å.
Fractional coordinates of all 6 atoms:
Zr  0.0000  0.0000  0.0000  12 Mo 3.23, 4 Th 3.38
Mo  0.6252  0.6252  0.6252  6 Mo 2.75-2.76
Mo  0.6252  0.6252  0.1245  6 Mo 2.75-2.76
Mo  0.1245  0.6252  0.6252  6 Mo 2.75-2.76
Mo  0.6252  0.1245  0.6252  6 Mo 2.75-2.76
Th  0.2500  0.2500  0.2500  12 Mo 3.23, 4 Zr 3.38

Computed properties:
- Energy: -9.842 eV/atom
- Calculated volume: 118.5 Å³/cell